DFT (PBE) results for a relaxed structure of Ta5Pb.

Output
M_tot	0.0	μB per formula unit
volume	19.3	Å³/atom
VASP energy	-60.78	eV/cell
formation energy	8.42	kcal/mol of atoms

Structure (POSCAR):
```
Ta5Pb
1.0
2.5785 -4.4660 0.0000
2.5785 4.4660 0.0000
0.0000 0.0000 5.0290
Ta Pb
5 1
direct
0.6581 0.0000 0.0000 Ta
0.3419 0.3419 0.0000 Ta
0.3333 0.6667 0.5000 Ta
0.0000 0.6581 0.0000 Ta
0.6667 0.3333 0.5000 Ta
0.0000 0.0000 0.5000 Pb
```